Entry from Alexandria: a geometry-optimized CrInI4 structure (PBE).

The structure in POSCAR format:
```
CrInI4
1.0
-2.928 -0.909 -2.785
-3.064 -8.628 2.957
-10.287 2.572 6.895
I In Cr
8 2 2
Direct
0.539 0.073 0.348 I
0.653 0.219 0.974 I
0.347 0.781 0.026 I
0.846 0.281 0.526 I
0.461 0.927 0.652 I
0.039 0.573 0.848 I
0.961 0.427 0.152 I
0.154 0.719 0.474 I
0.249 0.250 0.750 In
0.751 0.750 0.250 In
0.000 0.000 0.500 Cr
0.500 0.500 0.000 Cr
```

Computed properties:
- space-group type = C2/m, No. 12
- VASP energy (eV per atom) = -3.45
- mass density (g/cm3) = 4.7



Entry from Alexandria: a geometry-optimized LiMo3 structure (PBE).

The structure in POSCAR format:
```
LiMo3
1.0
2.548 0.000 0.000
0.000 4.611 0.000
0.000 0.000 5.274
Mo Li
3 1
Direct
0.000 0.500 0.303 Mo
0.500 0.000 0.531 Mo
0.500 0.500 0.811 Mo
0.000 0.000 0.023 Li
```

Computed properties:
- space-group type = Pmm2, No. 25
- ΔE_f (eV per atom) = 0.372
- mass density (g/cm3) = 7.9
- distance to the lowest polymorph of the same formula (kcal/mol of atoms) = 3.21



Entry from Alexandria: a geometry-optimized SiPbAu structure (PBE).

The structure in POSCAR format:
```
SiPbAu
1.0
4.211 0.000 0.000
0.000 7.385 0.000
0.000 0.000 9.023
Au Pb Si
4 4 4
Direct
0.750 0.416 0.214 Au
0.250 0.584 0.786 Au
0.250 0.916 0.286 Au
0.750 0.084 0.714 Au
0.750 0.768 0.014 Pb
0.750 0.732 0.514 Pb
0.250 0.232 0.986 Pb
0.250 0.268 0.486 Pb
0.250 0.586 0.250 Si
0.250 0.914 0.750 Si
0.750 0.086 0.250 Si
0.750 0.414 0.750 Si
```

Computed properties:
- space-group type = Pnma, No. 62
- mass density (g/cm3) = 10.2
- distance to the lowest polymorph of the same formula (kcal/mol of atoms) = 0.00



Entry from Alexandria: a geometry-optimized Sc2TlC structure (PBE).

The structure in POSCAR format:
```
Sc2TlC
1.0
6.726 0.000 0.000
0.000 6.726 0.000
3.363 3.363 3.655
Sc Tl C
4 2 2
Direct
0.375 0.476 0.750 Sc
0.226 0.625 0.250 Sc
0.875 0.774 0.750 Sc
0.524 0.125 0.250 Sc
0.750 0.250 0.500 Tl
0.000 0.000 0.000 Tl
0.500 0.500 0.000 C
0.250 0.750 0.500 C
```

Computed properties:
- space-group type = I-42d, No. 122
- ΔE_f (eV per atom) = -0.086
- mass density (g/cm3) = 6.2
- distance to the lowest polymorph of the same formula (kcal/mol of atoms) = 9.72



Entry from Alexandria: a geometry-optimized Tb4YTe5 structure (PBE).

The structure in POSCAR format:
```
Tb4YTe5
1.0
-2.868 -1.683 -2.843
1.607 -7.373 -0.623
-6.451 -4.488 5.798
Te Tb Y
5 4 1
Direct
0.000 0.500 0.500 Te
0.200 0.900 0.700 Te
0.400 0.299 0.900 Te
0.600 0.701 0.100 Te
0.800 0.100 0.300 Te
0.400 0.799 0.400 Tb
0.600 0.201 0.600 Tb
0.200 0.400 0.200 Tb
0.800 0.600 0.800 Tb
0.000 0.000 0.000 Y
```

Computed properties:
- space-group type = C2/m, No. 12
- mass density (g/cm3) = 7.7
- distance to the lowest polymorph of the same formula (kcal/mol of atoms) = 0.00



Entry from Alexandria: a geometry-optimized Re2TeSe structure (PBE).

The structure in POSCAR format:
```
Re2TeSe
1.0
-0.628 2.407 1.796
-2.178 -1.294 -1.731
-2.049 -5.556 6.731
Re Se Te
2 1 1
Direct
0.000 0.000 0.471 Re
0.000 0.000 0.029 Re
0.500 0.500 0.250 Se
0.500 0.500 0.750 Te
```

Computed properties:
- space-group type = Cmmm, No. 65
- mass density (g/cm3) = 13.3
- distance to the lowest polymorph of the same formula (kcal/mol of atoms) = 22.15



Entry from Alexandria: a geometry-optimized Ba2LiCdNi structure (PBE).

The structure in POSCAR format:
```
Ba2LiCdNi
1.0
-2.480 0.203 5.449
0.041 -5.985 0.242
4.431 0.112 2.013
Ba Ni Li Cd
2 1 1 1
Direct
0.500 0.000 0.000 Ba
0.000 0.500 0.000 Ba
0.000 0.000 0.000 Ni
0.000 0.000 0.500 Li
0.500 0.500 0.500 Cd
```

Computed properties:
- space-group type = P4/mmm, No. 123
- ΔE_f (eV per atom) = 0.003
- mass density (g/cm3) = 4.3
- distance to the lowest polymorph of the same formula (kcal/mol of atoms) = 0.59



Entry from Alexandria: a geometry-optimized CeHoTlCd structure (PBE).

The structure in POSCAR format:
```
CeHoTlCd
1.0
5.396 0.000 0.000
2.698 4.673 0.000
2.698 1.558 4.406
Ho Cd Tl Ce
1 1 1 1
Direct
0.500 0.500 0.500 Ho
0.750 0.750 0.750 Cd
0.250 0.250 0.250 Tl
0.000 0.000 0.000 Ce
```

Computed properties:
- space-group type = F-43m, No. 216
- ΔE_f (eV per atom) = -0.249
- mass density (g/cm3) = 9.3